Entry 1:
! Na4SiSe4, relaxed, DFT GGA-PBEsol; values from VASP
! * formation energy (no corrections): -8.5 eV/f.u.
! * M_tot: 0.0000 μB per atom
&SYSTEM
  ibrav = 0, nat = 36, ntyp = 3
/
ATOMIC_SPECIES
Na 22.99 Na.upf
Si 28.09 Si.upf
Se 78.96 Se.upf
CELL_PARAMETERS angstrom
14.099 0.000 0.000
0.000 9.198 0.000
0.000 0.000 7.118
ATOMIC_POSITIONS crystal
Na 0.000 0.000 0.000
Na 0.000 0.500 0.000
Na 0.051 0.250 0.497
Na 0.234 0.551 0.356
Na 0.234 0.949 0.356
Na 0.266 0.051 0.856
Na 0.266 0.449 0.856
Na 0.449 0.750 0.997
Na 0.500 0.000 0.500
Na 0.500 0.500 0.500
Na 0.551 0.250 0.003
Na 0.734 0.551 0.144
Na 0.734 0.949 0.144
Na 0.766 0.051 0.644
Na 0.766 0.449 0.644
Na 0.949 0.750 0.503
Si 0.166 0.750 0.771
Si 0.334 0.250 0.271
Si 0.666 0.750 0.729
Si 0.834 0.250 0.229
Se 0.093 0.549 0.650
Se 0.093 0.951 0.650
Se 0.142 0.750 0.089
Se 0.180 0.250 0.171
Se 0.320 0.750 0.671
Se 0.358 0.250 0.589
Se 0.407 0.049 0.150
Se 0.407 0.451 0.150
Se 0.593 0.549 0.850
Se 0.593 0.951 0.850
Se 0.642 0.750 0.411
Se 0.680 0.250 0.329
Se 0.820 0.750 0.829
Se 0.858 0.250 0.911
Se 0.907 0.049 0.350
Se 0.907 0.451 0.350



Entry 2:
! NaSmSe2, relaxed, DFT GGA-PBEsol; values from VASP
! * formation energy (no corrections): -6.7 eV/f.u.
! * M_tot: 0.0000 μB per atom
&SYSTEM
  ibrav = 0, nat = 4, ntyp = 3
/
ATOMIC_SPECIES
Na 22.99 Na.upf
Sm 150.36 Sm.upf
Se 78.96 Se.upf
CELL_PARAMETERS angstrom
2.085 1.204 6.897
-2.085 1.204 6.897
0.000 -2.408 6.897
ATOMIC_POSITIONS crystal
Na 0.000 0.000 0.000
Sm 0.500 0.500 0.500
Se 0.245 0.245 0.245
Se 0.755 0.755 0.755



Entry 3:
! Na2SnSe3, relaxed, DFT GGA-PBEsol; values from VASP
! * formation energy (no corrections): -4.5 eV/f.u.
! * M_tot: 0.0000 μB per atom
&SYSTEM
  ibrav = 0, nat = 24, ntyp = 3
/
ATOMIC_SPECIES
Na 22.99 Na.upf
Sn 118.71 Sn.upf
Se 78.96 Se.upf
CELL_PARAMETERS angstrom
7.142 0.000 0.000
0.000 16.213 0.000
-2.300 0.000 5.642
ATOMIC_POSITIONS crystal
Na 0.048 0.167 0.011
Na 0.048 0.333 0.511
Na 0.263 0.523 0.179
Na 0.263 0.977 0.679
Na 0.737 0.023 0.321
Na 0.737 0.477 0.821
Na 0.952 0.667 0.489
Na 0.952 0.833 0.989
Sn 0.456 0.165 0.625
Sn 0.456 0.335 0.125
Sn 0.544 0.665 0.875
Sn 0.544 0.835 0.375
Se 0.086 0.145 0.530
Se 0.086 0.355 0.030
Se 0.302 0.551 0.684
Se 0.302 0.949 0.184
Se 0.480 0.681 0.266
Se 0.480 0.819 0.766
Se 0.520 0.181 0.234
Se 0.520 0.319 0.734
Se 0.698 0.051 0.816
Se 0.698 0.449 0.316
Se 0.914 0.645 0.970
Se 0.914 0.855 0.470



Entry 4:
! NaSr2Se2, relaxed, DFT GGA-PBEsol; values from VASP
! * formation energy (no corrections): -6.5 eV/f.u.
! * M_tot: 0.0001 μB per atom
&SYSTEM
  ibrav = 0, nat = 5, ntyp = 3
/
ATOMIC_SPECIES
Na 22.99 Na.upf
Sr 87.62 Sr.upf
Se 78.96 Se.upf
CELL_PARAMETERS angstrom
-2.979 2.979 6.487
2.979 -2.979 6.487
2.979 2.979 -6.487
ATOMIC_POSITIONS crystal
Na 0.000 0.000 0.000
Sr 0.250 0.750 0.500
Sr 0.750 0.250 0.500
Se 0.217 0.217 0.000
Se 0.783 0.783 0.000



Entry 5:
! NaSrSe3, relaxed, DFT GGA-PBEsol; values from VASP
! * formation energy (no corrections): -1.4 eV/f.u.
! * M_tot: 0.5244 μB per atom
&SYSTEM
  ibrav = 0, nat = 5, ntyp = 3
/
ATOMIC_SPECIES
Na 22.99 Na.upf
Sr 87.62 Sr.upf
Se 78.96 Se.upf
CELL_PARAMETERS angstrom
5.772 0.000 0.000
0.000 5.772 0.000
0.000 0.000 5.772
ATOMIC_POSITIONS crystal
Na 0.000 0.000 0.000
Sr 0.500 0.500 0.500
Se 0.000 0.500 0.500
Se 0.500 0.000 0.500
Se 0.500 0.500 0.000



Entry 6:
! Na2SrTaSe, relaxed, DFT GGA-PBEsol; values from VASP
! * formation energy (no corrections): 2.8 eV/f.u.
! * M_tot: 0.9884 μB per atom
&SYSTEM
  ibrav = 0, nat = 5, ntyp = 4
/
ATOMIC_SPECIES
Na 22.99 Na.upf
Sr 87.62 Sr.upf
Ta 180.95 Ta.upf
Se 78.96 Se.upf
CELL_PARAMETERS angstrom
5.329 0.000 0.000
0.000 5.329 0.000
0.000 0.000 5.917
ATOMIC_POSITIONS crystal
Na 0.000 0.500 0.000
Na 0.500 0.000 0.000
Sr 0.000 0.000 0.500
Ta 0.500 0.500 0.500
Se 0.000 0.000 0.000



Entry 7:
! NaTaSe3, relaxed, DFT GGA-PBEsol; values from VASP
! * formation energy (no corrections): -3.0 eV/f.u.
! * M_tot: 0.0000 μB per atom
&SYSTEM
  ibrav = 0, nat = 5, ntyp = 3
/
ATOMIC_SPECIES
Na 22.99 Na.upf
Ta 180.95 Ta.upf
Se 78.96 Se.upf
CELL_PARAMETERS angstrom
5.027 0.000 0.000
0.000 5.027 0.000
0.000 0.000 5.027
ATOMIC_POSITIONS crystal
Na 0.000 0.000 0.000
Ta 0.500 0.500 0.500
Se 0.000 0.500 0.500
Se 0.500 0.000 0.500
Se 0.500 0.500 0.000



Entry 8:
! Na3TcSe, relaxed, DFT GGA-PBEsol; values from VASP
! * formation energy (no corrections): 5.9 eV/f.u.
! * M_tot: 0.8008 μB per atom
&SYSTEM
  ibrav = 0, nat = 5, ntyp = 3
/
ATOMIC_SPECIES
Na 22.99 Na.upf
Tc 98.00 Tc.upf
Se 78.96 Se.upf
CELL_PARAMETERS angstrom
5.537 0.000 0.000
0.000 5.537 0.000
0.000 0.000 5.537
ATOMIC_POSITIONS crystal
Na 0.000 0.000 0.500
Na 0.000 0.500 0.000
Na 0.500 0.000 0.000
Tc 0.000 0.000 0.000
Se 0.500 0.500 0.500



Entry 9:
! Na2TeSe2, relaxed, DFT GGA-PBEsol; values from VASP
! * formation energy (no corrections): -3.1 eV/f.u.
! * M_tot: 0.0000 μB per atom
&SYSTEM
  ibrav = 0, nat = 10, ntyp = 3
/
ATOMIC_SPECIES
Na 22.99 Na.upf
Te 127.60 Te.upf
Se 78.96 Se.upf
CELL_PARAMETERS angstrom
7.750 0.000 0.000
0.000 7.750 0.000
0.000 0.000 4.052
ATOMIC_POSITIONS crystal
Na 0.139 0.361 0.000
Na 0.361 0.861 0.000
Na 0.639 0.139 0.000
Na 0.861 0.639 0.000
Te 0.000 0.000 0.500
Te 0.500 0.500 0.500
Se 0.174 0.674 0.500
Se 0.326 0.174 0.500
Se 0.674 0.826 0.500
Se 0.826 0.326 0.500



Entry 10:
! Na4TeSe, relaxed, DFT GGA-PBEsol; values from VASP
! * formation energy (no corrections): -5.8 eV/f.u.
! * M_tot: 0.0000 μB per atom
&SYSTEM
  ibrav = 0, nat = 6, ntyp = 3
/
ATOMIC_SPECIES
Na 22.99 Na.upf
Te 127.60 Te.upf
Se 78.96 Se.upf
CELL_PARAMETERS angstrom
4.942 0.000 0.000
0.000 4.942 0.000
0.000 0.000 7.072
ATOMIC_POSITIONS crystal
Na 0.000 0.500 0.237
Na 0.000 0.500 0.763
Na 0.500 0.000 0.237
Na 0.500 0.000 0.763
Te 0.000 0.000 0.500
Se 0.500 0.500 0.000



Entry 11:
! Na2TeSe, relaxed, DFT GGA-PBEsol; values from VASP
! * formation energy (no corrections): -2.1 eV/f.u.
! * M_tot: 0.0000 μB per atom
&SYSTEM
  ibrav = 0, nat = 4, ntyp = 3
/
ATOMIC_SPECIES
Na 22.99 Na.upf
Te 127.60 Te.upf
Se 78.96 Se.upf
CELL_PARAMETERS angstrom
0.000 3.647 3.647
3.647 0.000 3.647
3.647 3.647 0.000
ATOMIC_POSITIONS crystal
Na 0.250 0.250 0.250
Na 0.750 0.750 0.750
Te 0.000 0.000 0.000
Se 0.500 0.500 0.500



Entry 12:
! NaTiSe4, relaxed, DFT GGA-PBEsol; values from VASP
! * formation energy (no corrections): -5.2 eV/f.u.
! * M_tot: 0.0000 μB per atom
&SYSTEM
  ibrav = 0, nat = 48, ntyp = 3
/
ATOMIC_SPECIES
Na 22.99 Na.upf
Ti 47.87 Ti.upf
Se 78.96 Se.upf
CELL_PARAMETERS angstrom
12.719 0.000 0.000
0.000 7.193 0.000
-3.699 0.000 12.338
ATOMIC_POSITIONS crystal
Na 0.040 0.167 0.120
Na 0.040 0.333 0.620
Na 0.398 0.186 0.129
Na 0.398 0.314 0.629
Na 0.602 0.686 0.371
Na 0.602 0.814 0.871
Na 0.960 0.667 0.380
Na 0.960 0.833 0.880
Ti 0.233 0.726 0.115
Ti 0.233 0.774 0.615
Ti 0.283 0.700 0.375
Ti 0.283 0.800 0.875
Ti 0.717 0.200 0.125
Ti 0.717 0.300 0.625
Ti 0.767 0.226 0.385
Ti 0.767 0.274 0.885
Se 0.045 0.584 0.103
Se 0.045 0.916 0.603
Se 0.102 0.686 0.743
Se 0.102 0.814 0.243
Se 0.176 0.513 0.497
Se 0.176 0.987 0.997
Se 0.231 0.006 0.463
Se 0.231 0.494 0.963
Se 0.249 0.083 0.751
Se 0.249 0.417 0.251
Se 0.383 0.628 0.772
Se 0.383 0.872 0.272
Se 0.401 0.644 0.050
Se 0.401 0.856 0.550
Se 0.411 0.084 0.903
Se 0.411 0.416 0.403
Se 0.589 0.584 0.597
Se 0.589 0.916 0.097
Se 0.599 0.144 0.450
Se 0.599 0.356 0.950
Se 0.617 0.128 0.728
Se 0.617 0.372 0.228
Se 0.751 0.583 0.749
Se 0.751 0.917 0.249
Se 0.769 0.506 0.037
Se 0.769 0.994 0.537
Se 0.824 0.013 0.003
Se 0.824 0.487 0.503
Se 0.898 0.186 0.757
Se 0.898 0.314 0.257
Se 0.955 0.084 0.397
Se 0.955 0.416 0.897



Q: Look up the formation energy (no corrections) of the eighth one.
A: 5.9 eV/f.u.



Q: Which of these has the highest M_tot?
A: Na2SrTaSe



Q: Which value of M_tot does entry 9 give?
A: 0.0000 μB per atom